Record 1
GdDyGaAu: optimized geometry, GGA-PBE.

Lattice parameters (Å, degrees): 5.1204 5.1204 5.1204 60.00 60.00 60.00
Sites, in units of the cell vectors:
Gd1 0.0000 0.0000 0.0000
Dy1 0.5000 0.5000 0.5000
Ga1 0.7500 0.7500 0.7500
Au1 0.2500 0.2500 0.2500

Summary:
SG = F-43m, No. 216

Record 2
DyGaGeAu: optimized geometry, GGA-PBE.

Lattice parameters (Å, degrees): 4.8778 4.8778 4.8778 60.00 60.00 60.00
Sites, in units of the cell vectors:
Dy1 0.0000 0.0000 0.0000
Ga1 0.5000 0.5000 0.5000
Ge1 0.2500 0.2500 0.2500
Au1 0.7500 0.7500 0.7500

Summary:
SG = F-43m, No. 216

Record 3
DyGaHgAu: optimized geometry, GGA-PBE.

Lattice parameters (Å, degrees): 4.9460 4.9460 4.9460 60.00 60.00 60.00
Sites, in units of the cell vectors:
Dy1 0.0000 0.0000 0.0000
Ga1 0.5000 0.5000 0.5000
Hg1 0.2500 0.2500 0.2500
Au1 0.7500 0.7500 0.7500

Summary:
SG = F-43m, No. 216

Record 4
Dy4GaHg2Au: optimized geometry, GGA-PBE.

Lattice parameters (Å, degrees): 8.9556 8.9556 8.9556 33.60 33.60 33.60
Sites, in units of the cell vectors:
Dy1 0.1243 0.1243 0.1243
Dy2 0.3746 0.3746 0.3746
Dy3 0.6254 0.6254 0.6254
Dy4 0.8757 0.8757 0.8757
Ga1 0.5000 0.5000 0.5000
Hg1 0.2480 0.2480 0.2480
Hg2 0.7520 0.7520 0.7520
Au1 0.0000 0.0000 0.0000

Summary:
SG = R-3m, No. 166

Record 5
Dy2Ga4Ir3Au: optimized geometry, GGA-PBE.

Lattice parameters (Å, degrees): 4.0912 4.0912 11.0965 90.00 90.00 90.00
Sites, in units of the cell vectors:
Dy1 0.0000 0.5000 0.2399
Dy2 0.5000 0.0000 0.7601
Ga1 0.0000 0.0000 0.0000
Ga2 0.0000 0.5000 0.6390
Ga3 0.5000 0.0000 0.3610
Ga4 0.5000 0.5000 0.0000
Ir1 0.0000 0.5000 0.8614
Ir2 0.5000 0.0000 0.1386
Ir3 0.5000 0.5000 0.5000
Au1 0.0000 0.0000 0.5000

Summary:
SG = P-4m2, No. 115

Record 6
LaDyGa2Au2: optimized geometry, GGA-PBE.

Lattice parameters (Å, degrees): 4.5829 4.5829 7.4518 90.00 90.00 120.00
Sites, in units of the cell vectors:
La1 0.0000 0.0000 0.0000
Dy1 0.0000 0.0000 0.5000
Ga1 0.3333 0.6667 0.7245
Ga2 0.6667 0.3333 0.2755
Au1 0.3333 0.6667 0.2798
Au2 0.6667 0.3333 0.7202

Summary:
SG = P-3m1, No. 164

Number 1: size of the total moment 1.850 μB/atom, calculated total energy -6.938 eV/atom. Number 2: size of the total moment 0.000 μB/atom, calculated total energy -4.290 eV/atom. Number 3: size of the total moment 0.000 μB/atom, calculated total energy -3.294 eV/atom. Number 4: size of the total moment 0.000 μB/atom, calculated total energy -3.751 eV/atom. Number 5: size of the total moment 0.000 μB/atom, calculated total energy -5.769 eV/atom. Number 6: size of the total moment 0.000 μB/atom, calculated total energy -4.486 eV/atom.